(1)
Tb3NdSm2As6 | PBE | optimized geometry

Computed properties:
As for the total energy: -74.35 eV/cell. The value obtained for the density is 7.3 g cm⁻³.

Geometry as CIF:
```
data_Tb3NdSm2As6
_cell_length_a 4.188
_cell_length_b 8.371
_cell_length_c 9.359
_cell_angle_alpha 102.89
_cell_angle_beta 102.93
_cell_angle_gamma 90.00
_symmetry_space_group_name_H-M 'P 1'
_symmetry_Int_Tables_number 1
_symmetry_space_group_name_Hall 'P 1'
loop_
_atom_site_label
_atom_site_type_symbol
_atom_site_fract_x
_atom_site_fract_y
_atom_site_fract_z
As1 As 0.001 0.745 0.002
As2 As 0.666 0.586 0.331
As3 As 0.334 0.414 0.669
As4 As 0.669 0.081 0.337
As5 As 0.999 0.255 0.998
As6 As 0.331 0.919 0.663
Nd1 Nd 0.500 0.000 0.000
Sm1 Sm 0.833 0.666 0.666
Sm2 Sm 0.167 0.334 0.334
Tb1 Tb 0.167 0.833 0.333
Tb2 Tb 0.833 0.167 0.667
Tb3 Tb 0.500 0.500 0.000
```

(2)
RbNaBr2 | PBE | optimized geometry

Computed properties:
As for the formation energy from raw total energies: -37.50 kcal/mol of atoms. The value obtained for the density is 3.2 g cm⁻³.

Geometry as CIF:
```
data_RbNaBr2
_cell_length_a 4.571
_cell_length_b 4.571
_cell_length_c 8.097
_cell_angle_alpha 73.61
_cell_angle_beta 73.61
_cell_angle_gamma 60.00
_symmetry_space_group_name_H-M 'P 1'
_symmetry_Int_Tables_number 1
_symmetry_space_group_name_Hall 'P 1'
loop_
_atom_site_label
_atom_site_type_symbol
_atom_site_fract_x
_atom_site_fract_y
_atom_site_fract_z
Br1 Br 0.262 0.262 0.213
Br2 Br 0.738 0.738 0.787
Rb1 Rb 0.500 0.500 0.500
Na1 Na 0.000 0.000 0.000
```

(3)
Na4Np2Br9 | PBE | optimized geometry

Computed properties:
As for the formation energy from raw total energies: -32.55 kcal/mol of atoms. The value obtained for the density is 4.2 g cm⁻³.

Geometry as CIF:
```
data_Na4Np2Br9
_cell_length_a 7.509
_cell_length_b 7.512
_cell_length_c 20.552
_cell_angle_alpha 90.05
_cell_angle_beta 90.04
_cell_angle_gamma 60.06
_symmetry_space_group_name_H-M 'P 1'
_symmetry_Int_Tables_number 1
_symmetry_space_group_name_Hall 'P 1'
loop_
_atom_site_label
_atom_site_type_symbol
_atom_site_fract_x
_atom_site_fract_y
_atom_site_fract_z
Br1 Br 0.649 0.328 0.585
Br2 Br 0.301 0.699 0.750
Br3 Br 0.671 0.354 0.915
Br4 Br 0.330 0.022 0.585
Br5 Br 0.670 0.978 0.415
Br6 Br 0.998 0.700 0.250
Br7 Br 0.024 0.647 0.585
Br8 Br 0.699 0.000 0.750
Br9 Br 0.976 0.673 0.915
Br10 Br 0.329 0.646 0.085
Br11 Br 0.301 0.000 0.250
Br12 Br 0.024 0.327 0.085
Br13 Br 0.354 0.976 0.915
Br14 Br 0.002 0.300 0.750
Br15 Br 0.646 0.024 0.085
Br16 Br 0.699 0.301 0.250
Br17 Br 0.976 0.353 0.415
Br18 Br 0.351 0.672 0.415
Na1 Na 0.667 0.666 0.014
Na2 Na 0.666 0.666 0.513
Na3 Na 0.334 0.334 0.487
Na4 Na 0.335 0.333 0.676
Na5 Na 0.333 0.334 0.986
Na6 Na 0.665 0.667 0.324
Na7 Na 0.668 0.666 0.823
Na8 Na 0.332 0.334 0.177
Np1 Np 0.000 0.001 0.847
Np2 Np 0.999 0.001 0.346
Np3 Np 0.000 0.999 0.153
Np4 Np 0.001 0.999 0.654
```

(4)
AlBr2Cl | PBE | optimized geometry

Computed properties:
The calculation puts the offset from the most stable computed form at 1092.3 meV per atom. As for the formation energy from raw total energies: -2.35 kcal/mol of atoms. The value obtained for the density is 3.8 g cm⁻³.

Geometry as CIF:
```
data_AlBr2Cl
_cell_length_a 3.363
_cell_length_b 3.363
_cell_length_c 8.568
_cell_angle_alpha 90.00
_cell_angle_beta 90.00
_cell_angle_gamma 90.00
_symmetry_space_group_name_H-M 'P 1'
_symmetry_Int_Tables_number 1
_symmetry_space_group_name_Hall 'P 1'
loop_
_atom_site_label
_atom_site_type_symbol
_atom_site_fract_x
_atom_site_fract_y
_atom_site_fract_z
Al1 Al 0.500 0.500 0.750
Br1 Br 0.000 0.000 0.563
Br2 Br 0.000 0.000 0.937
Cl1 Cl 0.500 0.500 0.250
```

(5)
K3TbCe2O6 | PBE | optimized geometry

Computed properties:
As for the formation energy from raw total energies: -60.75 kcal/mol of atoms. The value obtained for the density is 5.1 g cm⁻³.

Geometry as CIF:
```
data_K3TbCe2O6
_cell_length_a 6.240
_cell_length_b 6.240
_cell_length_c 6.616
_cell_angle_alpha 99.04
_cell_angle_beta 99.04
_cell_angle_gamma 120.00
_symmetry_space_group_name_H-M 'P 1'
_symmetry_Int_Tables_number 1
_symmetry_space_group_name_Hall 'P 1'
loop_
_atom_site_label
_atom_site_type_symbol
_atom_site_fract_x
_atom_site_fract_y
_atom_site_fract_z
K1 K 0.166 0.834 0.500
K2 K 0.500 0.500 0.500
K3 K 0.834 0.166 0.500
Tb1 Tb 0.000 0.000 0.000
O1 O 0.263 0.263 0.812
O2 O 0.611 0.937 0.812
O3 O 0.737 0.737 0.188
O4 O 0.389 0.063 0.188
O5 O 0.063 0.389 0.188
O6 O 0.937 0.611 0.812
Ce1 Ce 0.333 0.667 0.000
Ce2 Ce 0.667 0.333 0.000
```

(6)
SrTlCd2 | PBE | optimized geometry

Computed properties:
As for the total energy: -6.81 eV/cell. The value obtained for the density is 7.7 g cm⁻³.

Geometry as CIF:
```
data_SrTlCd2
_cell_length_a 5.403
_cell_length_b 5.403
_cell_length_c 5.398
_cell_angle_alpha 60.06
_cell_angle_beta 60.06
_cell_angle_gamma 59.95
_symmetry_space_group_name_H-M 'P 1'
_symmetry_Int_Tables_number 1
_symmetry_space_group_name_Hall 'P 1'
loop_
_atom_site_label
_atom_site_type_symbol
_atom_site_fract_x
_atom_site_fract_y
_atom_site_fract_z
Sr1 Sr 0.500 0.500 0.500
Cd1 Cd 0.000 0.000 0.000
Cd2 Cd 0.750 0.750 0.750
Tl1 Tl 0.250 0.250 0.250
```

(7)
CePmNd2Y5 | PBE | optimized geometry

Computed properties:
As for the total energy: -100.51 eV/cell. The value obtained for the density is 5.7 g cm⁻³.

Geometry as CIF:
```
data_CePmNd2Y5
_cell_length_a 8.711
_cell_length_b 8.711
_cell_length_c 9.969
_cell_angle_alpha 115.91
_cell_angle_beta 115.91
_cell_angle_gamma 90.00
_symmetry_space_group_name_H-M 'P 1'
_symmetry_Int_Tables_number 1
_symmetry_space_group_name_Hall 'P 1'
loop_
_atom_site_label
_atom_site_type_symbol
_atom_site_fract_x
_atom_site_fract_y
_atom_site_fract_z
Ce1 Ce 0.250 0.750 0.500
Ce2 Ce 0.750 0.250 0.500
Y1 Y 0.000 0.000 0.000
Y2 Y 0.564 0.658 0.722
Y3 Y 0.064 0.564 0.722
Y4 Y 0.842 0.936 0.278
Y5 Y 0.436 0.342 0.278
Y6 Y 0.936 0.436 0.278
Y7 Y 0.500 0.500 0.000
Y8 Y 0.658 0.158 0.722
Y9 Y 0.158 0.064 0.722
Y10 Y 0.342 0.842 0.278
Nd1 Nd 0.620 0.120 0.000
Nd2 Nd 0.380 0.880 0.000
Nd3 Nd 0.120 0.380 0.000
Nd4 Nd 0.880 0.620 0.000
Pm1 Pm 0.750 0.750 0.500
Pm2 Pm 0.250 0.250 0.500
```

(8)
La3Cu | PBE | optimized geometry

Computed properties:
As for the total energy: -18.67 eV/cell. The value obtained for the density is 6.7 g cm⁻³.

Geometry as CIF:
```
data_La3Cu
_cell_length_a 3.939
_cell_length_b 4.900
_cell_length_c 6.413
_cell_angle_alpha 90.00
_cell_angle_beta 74.55
_cell_angle_gamma 90.00
_symmetry_space_group_name_H-M 'P 1'
_symmetry_Int_Tables_number 1
_symmetry_space_group_name_Hall 'P 1'
loop_
_atom_site_label
_atom_site_type_symbol
_atom_site_fract_x
_atom_site_fract_y
_atom_site_fract_z
La1 La 0.789 0.500 0.784
La2 La 0.500 0.000 0.500
La3 La 0.211 0.500 0.216
Cu1 Cu 0.000 0.000 0.000
```